(1)
Material: La2AlZn4Si3
Method: DFT, PBE
State: relaxed

Values from the calculation:
Space group = No. 115
Magnetization = 0.00 Bohr magnetons per cell

```
10
Lattice="4.2833 0.0000 0.0000 0.0000 4.2833 0.0000 0.0000 0.0000 10.4140" Properties=species:S:1:pos:R:3 pbc="T T T"
La 0.0000 2.1416 2.5931
La 2.1416 0.0000 7.8209
Al 0.0000 0.0000 5.2070
Zn 0.0000 0.0000 0.0000
Zn 0.0000 2.1416 6.5957
Zn 2.1416 0.0000 3.8183
Zn 2.1416 2.1416 0.0000
Si 0.0000 2.1416 9.0275
Si 2.1416 0.0000 1.3865
Si 2.1416 2.1416 5.2070
```

(2)
Material: LaZrAl2Si
Method: DFT, PBE
State: relaxed

Values from the calculation:
Space group = No. 123
Magnetization = 0.00 Bohr magnetons per cell

```
5
Lattice="5.2688 0.0000 0.0000 0.0000 5.2688 0.0000 0.0000 0.0000 5.1678" Properties=species:S:1:pos:R:3 pbc="T T T"
La 0.0000 0.0000 0.0000
Zr 2.6344 2.6344 2.5839
Al 0.0000 2.6344 0.0000
Al 2.6344 0.0000 0.0000
Si 0.0000 0.0000 2.5839
```

(3)
Material: La6Sm2Al
Method: DFT, PBE
State: relaxed

Values from the calculation:
Space group = No. 189
Magnetization = 0.00 Bohr magnetons per cell

```
9
Lattice="9.7718 0.0000 0.0000 -4.8859 8.4627 0.0000 0.0000 0.0000 3.7259" Properties=species:S:1:pos:R:3 pbc="T T T"
La -1.3310 2.3054 0.0000
La -3.1114 5.3892 1.8629
La 2.6620 0.0000 0.0000
La 1.7745 3.0735 1.8629
La 6.2229 0.0000 1.8629
La 3.5549 6.1573 0.0000
Sm 0.0000 5.6418 0.0000
Sm 4.8859 2.8209 0.0000
Al 0.0000 0.0000 1.8629
```

(4)
Material: La2SmAl
Method: DFT, PBE
State: relaxed

Values from the calculation:
ΔE to the lowest computed polymorph = 137 meV per atom
Space group = No. 225
Magnetization = 0.00 Bohr magnetons per cell

```
4
Lattice="0.0000 3.9393 3.9393 3.9393 0.0000 3.9393 3.9393 3.9393 0.0000" Properties=species:S:1:pos:R:3 pbc="T T T"
La 1.9696 1.9696 1.9696
La 5.9089 5.9089 5.9089
Sm 0.0000 0.0000 0.0000
Al 3.9393 3.9393 3.9393
```

(5)
Material: La14SmAl
Method: DFT, PBE
State: relaxed

Values from the calculation:
Space group = No. 123
Magnetization = 0.00 Bohr magnetons per cell

```
16
Lattice="7.3155 0.0000 0.0000 0.0000 7.3155 0.0000 0.0000 0.0000 10.3305" Properties=species:S:1:pos:R:3 pbc="T T T"
La 0.0000 0.0000 0.0000
La 0.0000 3.6578 0.0000
La 0.0000 3.6578 5.1652
La 1.7451 1.7451 2.6843
La 1.7451 1.7451 7.6462
La 1.7451 5.5704 2.6843
La 1.7451 5.5704 7.6462
La 3.6578 0.0000 0.0000
La 3.6578 0.0000 5.1652
La 3.6578 3.6578 0.0000
La 5.5704 1.7451 2.6843
La 5.5704 1.7451 7.6462
La 5.5704 5.5704 2.6843
La 5.5704 5.5704 7.6462
Sm 3.6578 3.6578 5.1652
Al 0.0000 0.0000 5.1652
```

(6)
Material: La6SmAl
Method: DFT, PBE
State: relaxed

Values from the calculation:
ΔE to the lowest computed polymorph = 0 meV per atom
Space group = No. 123
Magnetization = 0.00 Bohr magnetons per cell

```
8
Lattice="5.0757 0.0000 0.0000 0.0000 5.0757 0.0000 0.0000 0.0000 10.3594" Properties=species:S:1:pos:R:3 pbc="T T T"
La 0.0000 0.0000 0.0000
La 0.0000 0.0000 5.1797
La 0.0000 2.5379 2.4681
La 0.0000 2.5379 7.8912
La 2.5379 0.0000 2.4681
La 2.5379 0.0000 7.8912
Sm 2.5379 2.5379 5.1797
Al 2.5379 2.5379 0.0000
```

Calculated values (states/eV/f.u.) of DOS(E_F) for the records, taken in order: 3.4 4.7 12.4 6.5 21.1 10.5.
Calculated values (eV/cell) of VASP energy for the records, taken in order: -39.250 -19.893 -43.342 -18.528 -77.918 -38.573.